VASP calculation (PBE) on a relaxed ErSnNO crystal.

a = 4.299 Å, b = 4.299 Å, c = 7.849 Å
α = 90.00°, β = 90.00°, γ = 90.00°
Positions (direct):
O 0.250 0.750 0.000
N 0.750 0.750 0.412
Er 0.250 0.750 0.500
N 0.250 0.250 0.588
Er 0.750 0.250 0.500
Sn 0.750 0.750 0.882
O 0.750 0.250 0.000
Sn 0.250 0.250 0.118

## Properties
The value obtained for the total energy is -6.48 eV per atom. As for the total moment: 0.00 μB per formula unit. As for the energy above the most stable polymorph in this dataset: 0.669 eV per atom.

VASP calculation (PBE) on a relaxed Tb4PdPt3 crystal.

a = 5.614 Å, b = 4.514 Å, c = 7.083 Å
α = 90.00°, β = 90.11°, γ = 90.00°
Positions (direct):
Pt 0.846 0.500 0.546
Tb 0.858 0.000 0.818
Pd 0.346 0.000 0.956
Tb 0.138 0.500 0.185
Tb 0.361 0.500 0.678
Tb 0.642 0.000 0.319
Pt 0.157 0.000 0.456
Pt 0.651 0.500 0.043

## Properties
The value obtained for the total energy is -6.42 eV per atom. As for the total moment: 0.01 μB per formula unit. The value obtained for the calculated formation energy is -1191 meV/atom.

VASP calculation (PBE) on a relaxed Zr2CuB2 crystal.

a = 6.285 Å, b = 6.285 Å, c = 3.489 Å
α = 90.00°, β = 90.00°, γ = 150.91°
Positions (direct):
Zr 0.637 0.363 0.500
Zr 0.363 0.637 0.500
B 0.783 0.217 0.000
B 0.217 0.783 0.000
Cu 0.000 0.000 0.000

## Properties
The value obtained for the total energy is -7.43 eV per atom. As for the total moment: 0.00 μB per formula unit.

> Which of these has the highest total moment?

Tb4PdPt3

> Look up the total moment of the second one.

0.01 μB per formula unit

> Which formula does entry 1 have?

ErSnNO

> Look up the total moment of the second one.

0.01 μB per formula unit